First-principles (PBE) data for a geometry-optimized LaCeTlPb structure, as listed in Alexandria via LeMat-Bulk.

SG: F-43m (216)
excess energy over the best structure of this formula in the dataset: 0.038 eV per atom
formation enthalpy at 0 K: -375.2 meV/atom
calculated volume: 124 Å³/cell
calculated density: 9.2 g/cm3

a = 5.6004 Å, b = 5.6004 Å, c = 5.6004 Å
α = 60.00°, β = 60.00°, γ = 60.00°
Positions (direct):
1 La 0.7500 0.7500 0.7500
2 Tl 0.5000 0.5000 0.5000
3 Pb 0.0000 0.0000 0.0000
4 Ce 0.2500 0.2500 0.2500